80
Lattice="-5.710 5.710 5.710 5.710 -5.710 5.710 5.710 5.710 -5.710" Properties=species:S:1:pos:R:3 comment="Al2Co3Si3O12 | OQMD via LeMat-Bulk | PBE+U | optimized geometry" de_polymorph_kj_per_mol_fu=4.8 space_group="Ia-3d (230)" pbc="T T T"
O 7.452 0.382 0.604
O 3.237 1.112 2.250
O -0.382 0.604 1.743
O 6.092 5.105 3.967
O 2.250 3.237 1.112
O 1.743 0.382 5.105
O 1.743 5.327 -0.604
O 3.459 2.472 4.598
O -1.112 3.459 3.237
O 3.237 -1.112 3.459
O -3.237 6.821 3.459
O 5.327 5.105 -1.743
O 0.604 7.452 0.382
O 0.382 5.105 1.743
O -0.604 1.743 5.327
O 5.105 3.967 6.092
O 3.459 -3.237 6.821
O 5.327 0.604 3.967
O 6.821 2.250 2.472
O 1.112 2.250 3.237
O 1.743 -0.382 0.604
O 2.250 2.472 6.821
O 0.382 6.314 3.967
O 4.598 3.459 2.472
O -1.743 5.327 5.105
O 6.821 -2.250 3.237
O 3.237 6.821 -2.250
O 8.947 -1.112 2.250
O 2.472 -1.112 7.960
O 3.459 3.237 -1.112
O 7.960 2.472 -1.112
O 5.105 -1.743 5.327
O 2.472 4.598 3.459
O 6.821 3.459 -3.237
O 5.327 -0.604 1.743
O 5.105 1.743 0.382
O 6.314 3.967 0.382
O 0.382 0.604 7.452
O 2.472 6.821 2.250
O 0.604 1.743 -0.382
O -1.112 2.250 8.947
O -2.250 3.237 6.821
O 3.967 0.382 6.314
O 3.967 6.092 5.105
O -1.112 7.960 2.472
O 2.250 8.947 -1.112
O 3.967 5.327 0.604
O 0.604 3.967 5.327
Co 4.282 5.710 2.855
Co 5.710 2.855 -1.427
Co 0.000 2.855 7.137
Co 2.855 4.282 5.710
Co 1.427 0.000 2.855
Co 2.855 7.137 0.000
Co 5.710 2.855 4.282
Co 0.000 2.855 1.427
Co -1.427 5.710 2.855
Co 7.137 0.000 2.855
Co 2.855 1.427 0.000
Co 2.855 -1.427 5.710
Si 2.855 4.282 0.000
Si 2.855 1.427 5.710
Si 8.564 1.427 0.000
Si 4.282 0.000 2.855
Si 5.710 2.855 1.427
Si 4.282 5.710 -2.855
Si 1.427 0.000 8.564
Si 0.000 2.855 4.282
Si -2.855 4.282 5.710
Si 0.000 8.564 1.427
Si 1.427 5.710 2.855
Si 5.710 -2.855 4.282
Al 0.000 5.710 0.000
Al -2.855 2.855 2.855
Al 5.710 0.000 0.000
Al 2.855 2.855 2.855
Al 2.855 -2.855 2.855
Al 2.855 2.855 -2.855
Al 0.000 0.000 5.710
Al 0.000 0.000 0.000